1.
An optimized crystal structure of La12Tb2Dy5. Source: Alexandria via LeMat-Bulk, functional PBE.

Geometry as POSCAR:
```
La12Tb2Dy5
1.0
9.7637 -3.8241 0.0000
9.7637 3.8241 0.0000
-4.6791 0.0000 8.9166
La Tb Dy
12 2 5
Cartesian
18.5657 0.0000 1.8241
-3.7175 0.0000 7.0924
4.1864 2.0578 4.5235
5.9147 1.9180 1.3811
10.6619 2.0578 4.3930
8.9336 1.9180 7.5355
6.4321 0.0000 5.7562
8.4162 0.0000 3.1604
5.9147 -1.9180 1.3811
4.1864 -2.0578 4.5235
8.9336 -1.9180 7.5355
10.6619 -2.0578 4.3930
9.7637 1.5174 0.0000
9.7637 -1.5174 0.0000
-2.3396 0.0000 4.4583
2.6190 0.0000 1.5007
2.4887 0.0000 7.2092
12.3595 0.0000 1.7074
12.2293 0.0000 7.4159
```

Space-group type: C2/m
Calculated total energy: -4.657 eV/atom

---

2.
An optimized crystal structure of Re3Tc2. Source: Alexandria via LeMat-Bulk, functional PBE.

Geometry as POSCAR:
```
Re3Tc2
1.0
4.6667 -2.3956 0.0000
4.6667 2.3956 0.0000
-2.6131 0.0000 6.6201
Re Tc
6 4
Cartesian
0.1493 0.8064 4.3051
2.7069 1.5954 4.9651
1.4558 -0.8064 0.9951
5.2645 0.8064 5.6250
4.0134 -1.5954 1.6550
6.5710 -0.8064 2.3149
3.5946 0.8072 0.3317
4.4323 0.8072 2.9783
2.2880 -0.8072 3.6418
3.1258 -0.8072 6.2884
```

Space-group type: C2/c
Calculated total energy: -11.616 eV/atom

---

3.
An optimized crystal structure of LiScIr2. Source: Alexandria via LeMat-Bulk, functional PBE.

Geometry as POSCAR:
```
LiScIr2
1.0
2.9568 0.0000 0.0000
-1.4784 2.5607 0.0000
0.0000 0.0000 24.8657
Li Sc Ir
3 3 6
Cartesian
0.0000 0.0000 0.0000
0.0000 1.7071 16.5771
1.4784 0.8535 8.2885
0.0000 0.0000 12.4328
0.0000 1.7071 4.1443
1.4784 0.8535 20.7214
0.0000 0.0000 6.2006
0.0000 0.0000 18.6650
0.0000 1.7071 10.3765
0.0000 1.7071 22.7777
1.4784 0.8535 2.0879
1.4784 0.8535 14.4892
```

Space-group type: R-3m
Calculated total energy: -6.792 eV/atom

---

4.
An optimized crystal structure of Cu4NiBr. Source: Alexandria via LeMat-Bulk, functional PBE.

Geometry as POSCAR:
```
Cu4NiBr
1.0
0.0000 3.4858 3.4858
3.4858 0.0000 3.4858
3.4858 3.4858 0.0000
Cu Ni Br
4 1 1
Cartesian
2.6212 2.6212 2.6212
4.3504 4.3504 2.6212
4.3504 2.6212 4.3504
2.6212 4.3504 4.3504
5.2287 5.2287 5.2287
0.0000 0.0000 0.0000
```

Space-group type: F-43m
Calculated total energy: -3.525 eV/atom

---

5.
An optimized crystal structure of SmYSc2Bi4. Source: Alexandria via LeMat-Bulk, functional PBE.

Geometry as POSCAR:
```
SmYSc2Bi4
1.0
7.6047 0.0000 0.0000
0.0000 4.3990 0.0000
-2.5436 0.0000 7.1813
Sm Y Sc Bi
1 1 2 4
Cartesian
0.0000 0.0000 0.0000
-1.2718 2.1995 3.5907
2.5305 0.0000 3.5907
3.8023 2.1995 0.0000
0.1137 0.0000 5.4100
1.3842 2.1995 1.8559
3.6769 2.1995 5.3255
4.9474 0.0000 1.7714
```

Space-group type: P2/m
Calculated total energy: -5.699 eV/atom

---

6.
An optimized crystal structure of Ac3Ag4Hg4. Source: Alexandria via LeMat-Bulk, functional PBE.

Geometry as POSCAR:
```
Ac3Ag4Hg4
1.0
-2.3080 4.0430 8.0095
2.3080 -4.0430 8.0095
2.3080 4.0430 -8.0095
Ac Ag Hg
3 4 4
Cartesian
0.0000 0.0000 0.0000
2.3080 0.0000 5.8426
0.0000 4.0430 2.1668
0.0000 0.0000 3.4477
2.3080 2.6231 0.0000
0.0000 1.4199 8.0095
0.0000 0.0000 12.5713
2.3080 1.5751 -2.6430
2.3080 1.5751 2.6430
0.0000 2.4679 5.3665
0.0000 2.4679 10.6524
```

Space-group type: Immm
Calculated total energy: -2.585 eV/atom

---

Q: Which value of calculated total energy does entry 6 give?
A: -2.585 eV/atom